Compound: LiCd2GeH
Source: the Alexandria database
Functional: PBE-GGA
Structure: relaxed

Results
DOS at the Fermi energy: 0.59 states/eV/cell
calculated volume: 16.6 A^3/atom
DFT total energy: -11.436 eV/cell
theoretical density: 6.12 Mg/m³
total magnetization: 0.00 μB/atom

abc: 4.6417 4.6417 3.8485
angles: 90.00 90.00 90.00
Last column: nearest neighbours and their distance in Å.
Element x y z (fractional)
H 0.0000 0.0000 0.0000  2 Li 1.92
Ge 0.5000 0.5000 0.5000  8 Cd 3.01, 4 Li 3.28
Li 0.0000 0.0000 0.5000  2 H 1.92
Cd 0.0000 0.5000 0.0000  2 H 2.32
Cd 0.5000 0.0000 0.0000  2 H 2.32

Compound: Pr3Sm2Sn3
Source: the Alexandria database
Functional: PBE-GGA
Structure: relaxed

Results
DOS at the Fermi energy: 17.93 states/eV/cell
calculated volume: 31.9 A^3/atom
theoretical density: 7.02 Mg/m³
total magnetization: 0.00 μB/atom
calculated formation energy: -701 meV per atom

abc: 6.8125 9.3054 9.3054
angles: 120.00 90.00 90.00
Last column: nearest neighbours and their distance in Å.
Element x y z (fractional)
Pr 0.7500 0.2433 0.0000  3 Sn 3.22-3.36
Pr 0.7500 0.7567 0.7567  3 Sn 3.22-3.36
Pr 0.7500 0.0000 0.2433  3 Sn 3.22-3.36
Pr 0.2500 0.7567 0.0000  3 Sn 3.22-3.36
Pr 0.2500 0.2433 0.2433  3 Sn 3.22-3.36
Pr 0.2500 0.0000 0.7567  3 Sn 3.22-3.36
Sm 0.0000 0.3333 0.6667  6 Sn 3.33, 2 Sm 3.41
Sm 0.5000 0.6667 0.3333  6 Sn 3.33, 2 Sm 3.41
Sm 0.0000 0.6667 0.3333  6 Sn 3.33, 2 Sm 3.41
Sm 0.5000 0.3333 0.6667  6 Sn 3.33, 2 Sm 3.41
Sn 0.7500 0.6043 0.0000  3 Pr 3.22-3.36, 4 Sm 3.33
Sn 0.7500 0.3957 0.3957  3 Pr 3.22-3.36, 4 Sm 3.33
Sn 0.7500 0.0000 0.6043  3 Pr 3.22-3.36, 4 Sm 3.33
Sn 0.2500 0.3957 0.0000  3 Pr 3.22-3.36, 4 Sm 3.33
Sn 0.2500 0.6043 0.6043  3 Pr 3.22-3.36, 4 Sm 3.33
Sn 0.2500 0.0000 0.3957  3 Pr 3.22-3.36, 4 Sm 3.33

Compound: Ag2P
Source: the Alexandria database
Functional: PBE-GGA
Structure: relaxed

Results
DOS at the Fermi energy: 1.66 states/eV/cell
calculated volume: 17.2 A^3/atom
theoretical density: 7.94 Mg/m³
total magnetization: 0.00 μB/atom
E above lowest polymorph: 140 meV per atom
calculated formation energy: 310 meV per atom

abc: 5.1940 5.1940 4.7280
angles: 90.00 90.00 125.96
Last column: nearest neighbours and their distance in Å.
Element x y z (fractional)
Ag 0.8779 0.5634 0.7500  4 P 2.76-2.79, 5 Ag 2.91-2.93
Ag 0.1221 0.4366 0.2500  4 P 2.76-2.79, 5 Ag 2.91-2.93
Ag 0.5634 0.8779 0.7500  4 P 2.76-2.79, 5 Ag 2.91-2.93
Ag 0.4366 0.1221 0.2500  4 P 2.76-2.79, 5 Ag 2.91-2.93
P 0.2184 0.2184 0.7500  8 Ag 2.76-2.79
P 0.7816 0.7816 0.2500  8 Ag 2.76-2.79

Compound: LaNpSbO2
Source: the Alexandria database
Functional: PBE-GGA
Structure: relaxed

Results
DOS at the Fermi energy: 9.59 states/eV/cell
calculated volume: 20.7 A^3/atom
DFT total energy: -43.809 eV/cell
theoretical density: 8.48 Mg/m³
total magnetization: 0.68 μB/atom

abc: 3.9783 3.9783 7.1291
angles: 106.20 106.20 90.00
Last column: nearest neighbours and their distance in Å.
Element x y z (fractional)
La 0.8480 0.8480 0.6960  4 O 2.42
Np 0.1589 0.1589 0.3178  4 O 2.27
Sb 0.5075 0.5075 0.0150  4 Np 3.44, 4 La 3.50, 4 O 3.67
O 0.7428 0.2428 0.4856  2 Np 2.27, 2 La 2.42
O 0.2428 0.7428 0.4856  2 Np 2.27, 2 La 2.42

Compound: Ba12Rh5I3
Source: the Alexandria database
Functional: PBE-GGA
Structure: relaxed

Results
DOS at the Fermi energy: 73.25 states/eV/cell
calculated volume: 46.6 A^3/atom
DFT total energy: -287.743 eV/cell
theoretical density: 4.53 Mg/m³
total magnetization: 0.00 μB/atom

abc: 16.9178 16.9178 16.9178
angles: 109.47 109.47 109.47
Last column: nearest neighbours and their distance in Å.
Element x y z (fractional)
I 0.7500 0.3750 0.1250  8 Ba 3.85-3.96
I 0.8750 0.7500 0.1250  8 Ba 3.85-3.96
I 0.3750 0.7500 0.6250  8 Ba 3.85-3.96
I 0.2500 0.1250 0.3750  8 Ba 3.85-3.96
I 0.8750 0.1250 0.2500  8 Ba 3.85-3.96
I 0.3750 0.6250 0.2500  8 Ba 3.85-3.96
I 0.6250 0.3750 0.7500  8 Ba 3.85-3.96
I 0.1250 0.8750 0.7500  8 Ba 3.85-3.96
I 0.7500 0.8750 0.6250  8 Ba 3.85-3.96
I 0.6250 0.2500 0.3750  8 Ba 3.85-3.96
I 0.1250 0.2500 0.8750  8 Ba 3.85-3.96
I 0.2500 0.6250 0.8750  8 Ba 3.85-3.96
Rh 0.1250 0.3750 0.2500  4 Ba 2.87
Rh 0.0000 0.5000 0.0000  6 Ba 3.11
Rh 0.0000 0.0000 0.0000  6 Ba 3.11
Rh 0.3750 0.2500 0.1250  4 Ba 2.87
Rh 0.5000 0.0000 0.5000  6 Ba 3.11
Rh 0.5000 0.5000 0.0000  6 Ba 3.11
Rh 0.1250 0.7500 0.3750  4 Ba 2.87
Rh 0.7500 0.1250 0.8750  4 Ba 2.87
Rh 0.7500 0.6250 0.3750  4 Ba 2.87
Rh 0.3750 0.1250 0.7500  4 Ba 2.87
Rh 0.6250 0.8750 0.2500  4 Ba 2.87
Rh 0.5000 0.5000 0.5000  6 Ba 3.11
Rh 0.5000 0.0000 0.0000  6 Ba 3.11
Rh 0.0000 0.0000 0.5000  6 Ba 3.11
Rh 0.2500 0.3750 0.6250  4 Ba 2.87
Rh 0.2500 0.8750 0.1250  4 Ba 2.87
Rh 0.0000 0.5000 0.5000  6 Ba 3.11
Rh 0.8750 0.2500 0.6250  4 Ba 2.87
Rh 0.6250 0.7500 0.8750  4 Ba 2.87
Rh 0.8750 0.6250 0.7500  4 Ba 2.87
Ba 0.6983 0.1122 0.0172  2 Rh 2.87-3.11
Ba 0.3189 0.5172 0.4050  2 Rh 2.87-3.11
Ba 0.9828 0.3878 0.3017  2 Rh 2.87-3.11
Ba 0.5172 0.1983 0.1122  2 Rh 2.87-3.11
Ba 0.5861 0.6983 0.6811  2 Rh 2.87-3.11
Ba 0.9828 0.5950 0.1811  2 Rh 2.87-3.11
Ba 0.3189 0.8017 0.4139  2 Rh 2.87-3.11
Ba 0.0950 0.9139 0.1122  2 Rh 2.87-3.11
Ba 0.5950 0.9828 0.6811  2 Rh 2.87-3.11
Ba 0.6983 0.5861 0.1811  2 Rh 2.87-3.11
Ba 0.8017 0.4828 0.3878  2 Rh 2.87-3.11
Ba 0.8189 0.9050 0.0172  2 Rh 2.87-3.11
Ba 0.1122 0.6983 0.5172  2 Rh 2.87-3.11
Ba 0.3878 0.4050 0.0861  2 Rh 2.87-3.11
Ba 0.0861 0.9050 0.3878  2 Rh 2.87-3.11
Ba 0.4139 0.1122 0.5950  2 Rh 2.87-3.11
Ba 0.0861 0.1811 0.1983  2 Rh 2.87-3.11
Ba 0.4828 0.6811 0.0950  2 Rh 2.87-3.11
Ba 0.8189 0.9139 0.3017  2 Rh 2.87-3.11
Ba 0.1122 0.4139 0.0950  2 Rh 2.87-3.11
Ba 0.3878 0.9828 0.8017  2 Rh 2.87-3.11
Ba 0.5950 0.6122 0.4139  2 Rh 2.87-3.11
Ba 0.9050 0.8189 0.5172  2 Rh 2.87-3.11
Ba 0.8017 0.3189 0.9139  2 Rh 2.87-3.11
Ba 0.4050 0.3878 0.5861  2 Rh 2.87-3.11
Ba 0.0950 0.1811 0.4828  2 Rh 2.87-3.11
Ba 0.1983 0.6811 0.0861  2 Rh 2.87-3.11
Ba 0.1811 0.0861 0.6983  2 Rh 2.87-3.11
Ba 0.6122 0.0172 0.1983  2 Rh 2.87-3.11
Ba 0.8878 0.5861 0.9050  2 Rh 2.87-3.11
Ba 0.5172 0.3189 0.9050  2 Rh 2.87-3.11
Ba 0.5861 0.8878 0.4050  2 Rh 2.87-3.11
Ba 0.9139 0.8189 0.8017  2 Rh 2.87-3.11
Ba 0.9139 0.0950 0.6122  2 Rh 2.87-3.11
Ba 0.8878 0.3017 0.4828  2 Rh 2.87-3.11
Ba 0.1811 0.0950 0.9828  2 Rh 2.87-3.11
Ba 0.6122 0.5950 0.9139  2 Rh 2.87-3.11
Ba 0.4050 0.0172 0.3189  2 Rh 2.87-3.11
Ba 0.3017 0.4139 0.8189  2 Rh 2.87-3.11
Ba 0.1983 0.5172 0.6122  2 Rh 2.87-3.11
Ba 0.9050 0.0861 0.8878  2 Rh 2.87-3.11
Ba 0.6811 0.1983 0.5861  2 Rh 2.87-3.11
Ba 0.4828 0.8017 0.8878  2 Rh 2.87-3.11
Ba 0.0172 0.4050 0.8189  2 Rh 2.87-3.11
Ba 0.4139 0.3017 0.3189  2 Rh 2.87-3.11
Ba 0.0172 0.6122 0.6983  2 Rh 2.87-3.11
Ba 0.6811 0.4828 0.5950  2 Rh 2.87-3.11
Ba 0.3017 0.8878 0.9828  2 Rh 2.87-3.11

Compound: Fe2TcPt
Source: the Alexandria database
Functional: PBE-GGA
Structure: relaxed

Results
DOS at the Fermi energy: 3.68 states/eV/cell
calculated volume: 13.1 A^3/atom
theoretical density: 12.79 Mg/m³
total magnetization: 0.70 μB/atom
E above lowest polymorph: 27 meV per atom
calculated formation energy: -23 meV per atom

abc: 2.6737 3.6886 5.3302
angles: 90.00 90.00 90.00
Last column: nearest neighbours and their distance in Å.
Element x y z (fractional)
Fe 0.0000 0.0000 0.9981  4 Tc 2.56, 6 Fe 2.59-2.67, 2 Pt 2.63-2.70
Fe 0.5000 0.5000 0.2298  1 Tc 2.40, 6 Fe 2.59-2.67, 4 Pt 2.67
Pt 0.0000 0.0000 0.4916  6 Fe 2.63-2.70, 2 Pt 2.67, 4 Tc 2.75
Tc 0.5000 0.5000 0.7804  5 Fe 2.40-2.56, 2 Tc 2.67

Compound: Tb2ZrAs3
Source: the Alexandria database
Functional: PBE-GGA
Structure: relaxed

Results
DOS at the Fermi energy: 1.76 states/eV/cell
calculated volume: 23.3 A^3/atom
theoretical density: 7.52 Mg/m³
total magnetization: 0.00 μB/atom
calculated formation energy: -1371 meV per atom

abc: 9.0129 9.0129 9.0129
angles: 154.05 154.05 37.03
Last column: nearest neighbours and their distance in Å.
Element x y z (fractional)
Tb 0.6668 0.6668 0.0000  6 As 2.85-2.93
Tb 0.3332 0.3332 0.0000  6 As 2.85-2.93
Zr 0.0000 0.0000 0.0000  6 As 2.77-2.86
As 0.5000 0.5000 0.0000  2 Tb 2.85, 4 Zr 2.86
As 0.8380 0.8380 0.0000  1 Zr 2.77, 5 Tb 2.86-2.93
As 0.1620 0.1620 0.0000  1 Zr 2.77, 5 Tb 2.86-2.93